1.
## CeAl4Pd8 (PBE-GGA)

Data for a geometry-optimized CeAl4Pd8 structure. Values from VASP.

```
&SYSTEM
  ibrav = 0, nat = 13, ntyp = 3
/
ATOMIC_SPECIES
Ce 140.12 Ce.upf
Al 26.98 Al.upf
Pd 106.42 Pd.upf
ATOMIC_POSITIONS crystal
Ce 0.000 0.000 0.000
Al 0.000 0.000 0.500
Al 0.000 0.500 0.000
Al 0.500 0.000 0.000
Al 0.500 0.500 0.500
Pd 0.000 0.334 0.334
Pd 0.000 0.666 0.666
Pd 0.276 0.500 0.776
Pd 0.334 0.000 0.334
Pd 0.500 0.276 0.776
Pd 0.500 0.724 0.224
Pd 0.666 0.000 0.666
Pd 0.724 0.500 0.224
CELL_PARAMETERS angstrom
-4.402 4.402 2.714
4.402 -4.402 2.714
4.402 4.402 -2.714
```

Its density is 8.68 Mg/m³. As for the space group: I4/mmm, No. 139.


2.
## Ce2Al3PdPt12 (PBE-GGA)

Data for a geometry-optimized Ce2Al3PdPt12 structure. Values from VASP.

```
&SYSTEM
  ibrav = 0, nat = 18, ntyp = 4
/
ATOMIC_SPECIES
Ce 140.12 Ce.upf
Al 26.98 Al.upf
Pd 106.42 Pd.upf
Pt 195.08 Pt.upf
ATOMIC_POSITIONS crystal
Ce 0.115 0.115 0.115
Ce 0.885 0.885 0.885
Al 0.000 0.500 0.500
Al 0.500 0.000 0.500
Al 0.500 0.500 0.000
Pd 0.500 0.500 0.500
Pt 0.112 0.645 0.645
Pt 0.127 0.127 0.613
Pt 0.127 0.613 0.127
Pt 0.355 0.355 0.888
Pt 0.355 0.888 0.355
Pt 0.387 0.873 0.873
Pt 0.613 0.127 0.127
Pt 0.645 0.112 0.645
Pt 0.645 0.645 0.112
Pt 0.873 0.387 0.873
Pt 0.873 0.873 0.387
Pt 0.888 0.355 0.355
CELL_PARAMETERS angstrom
4.119 2.378 6.045
-4.119 2.378 6.045
0.000 -4.756 6.045
```

Its density is 13.13 Mg/m³. As for the space group: R-3m, No. 166.


3.
## Ce2Al4PdPt3 (PBE-GGA)

Data for a geometry-optimized Ce2Al4PdPt3 structure. Values from VASP.

```
&SYSTEM
  ibrav = 0, nat = 10, ntyp = 4
/
ATOMIC_SPECIES
Ce 140.12 Ce.upf
Al 26.98 Al.upf
Pd 106.42 Pd.upf
Pt 195.08 Pt.upf
ATOMIC_POSITIONS crystal
Ce 0.000 0.500 0.246
Ce 0.500 0.000 0.754
Al 0.000 0.000 0.000
Al 0.000 0.500 0.626
Al 0.500 0.000 0.374
Al 0.500 0.500 0.000
Pd 0.000 0.000 0.500
Pt 0.000 0.500 0.866
Pt 0.500 0.000 0.134
Pt 0.500 0.500 0.500
CELL_PARAMETERS angstrom
4.283 0.000 0.000
0.000 4.283 0.000
0.000 0.000 10.396
```

Its density is 9.40 Mg/m³. As for the space group: P-4m2, No. 115.


Number 1: ΔH_f (0 K) -0.80 eV/atom. Number 2: ΔH_f (0 K) -0.49 eV/atom. Number 3: ΔH_f (0 K) -1.04 eV/atom.